A plane-wave DFT calculation with GGA-PBE was carried out for an optimized crystal structure of Sc3Be.

Cell lengths 6.200, 6.200, 4.786 Å; angles 90.00, 90.00, 120.00 degrees
Element x y z (fractional)
Sc 0.175 0.350 0.250
Sc 0.175 0.825 0.250
Sc 0.350 0.175 0.750
Sc 0.650 0.825 0.250
Sc 0.825 0.175 0.750
Sc 0.825 0.650 0.750
Be 0.333 0.667 0.750
Be 0.667 0.333 0.250

Spin magnetization   0.001 μB per formula unit
Relative energy among the computed polymorphs   0.37 eV/f.u.
Energy   -5.58 eV/atom
ΔE_f   0.099 eV/atom